Computed, not measured: a relaxed CeHgBiPd crystal at the PBE level of DFT.

Computed properties:
* DFT total energy: -4.291 eV per atom
* formation energy: -0.46 eV per atom
* symmetry: F-43m
* total magnetic moment: 0.2304 μB per atom

Structure (POSCAR):
```
CeHgBiPd
1.0
0.000 3.657 3.657
3.657 0.000 3.657
3.657 3.657 0.000
Ce Hg Bi Pd
1 1 1 1
Cartesian
0.000 0.000 0.000
1.828 1.828 1.828
3.657 3.657 3.657
5.485 5.485 5.485
```

Computed, not measured: a relaxed Nd5YBi5 crystal at the PBE level of DFT.

Computed properties:
* DFT total energy: -5.273 eV per atom
* formation energy: -0.75 eV per atom
* symmetry: C2/m
* total magnetic moment: 0.0000 μB per atom

Structure (POSCAR):
```
Nd5YBi5
1.0
7.174 -3.221 0.000
7.174 3.221 0.000
-2.905 0.000 8.600
Nd Y Bi
5 1 5
Cartesian
0.000 0.000 0.000
4.264 0.000 1.429
2.879 0.000 5.773
8.565 0.000 2.828
7.180 0.000 7.172
-1.452 0.000 4.300
-0.050 0.000 7.143
1.413 0.000 2.892
5.722 0.000 4.300
10.030 0.000 5.708
11.493 0.000 1.457
```

Computed, not measured: a relaxed LiCePmPd crystal at the PBE level of DFT.

Computed properties:
* DFT total energy: -4.675 eV per atom
* formation energy: -0.23 eV per atom
* symmetry: F-43m
* total magnetic moment: 0.2524 μB per atom

Structure (POSCAR):
```
LiCePmPd
1.0
0.000 3.632 3.632
3.632 0.000 3.632
3.632 3.632 0.000
Li Ce Pm Pd
1 1 1 1
Cartesian
0.000 0.000 0.000
1.816 1.816 1.816
5.449 5.449 5.449
3.632 3.632 3.632
```

Computed, not measured: a relaxed Al4CuRe crystal at the PBE level of DFT.

Computed properties:
* DFT total energy: -5.087 eV per atom
* formation energy: 0.17 eV per atom
* symmetry: F-43m
* total magnetic moment: 0.0000 μB per atom

Structure (POSCAR):
```
Al4CuRe
1.0
0.000 3.530 3.530
3.530 0.000 3.530
3.530 3.530 0.000
Al Cu Re
4 1 1
Cartesian
0.885 0.885 0.885
2.645 2.645 0.885
2.645 0.885 2.645
0.885 2.645 2.645
3.530 3.530 3.530
5.295 5.295 5.295
```

Computed, not measured: a relaxed InAgPd5 crystal at the PBE level of DFT.

Computed properties:
* DFT total energy: -4.633 eV per atom
* formation energy: -0.13 eV per atom
* symmetry: P4/mmm
* total magnetic moment: 0.0000 μB per atom

Structure (POSCAR):
```
InAgPd5
1.0
3.941 0.000 0.000
0.000 3.941 0.000
0.000 0.000 7.951
In Ag Pd
1 1 5
Cartesian
0.000 0.000 0.000
1.970 1.970 3.976
0.000 0.000 3.976
0.000 1.970 1.910
0.000 1.970 6.041
1.970 0.000 1.910
1.970 0.000 6.041
```

Computed, not measured: a relaxed ZrTlSb2 crystal at the PBE level of DFT.

Computed properties:
* DFT total energy: -4.785 eV per atom
* symmetry: Cmm2
* total magnetic moment: 0.0000 μB per atom
* formation energy from raw total energies: 5.1 meV/atom

Structure (POSCAR):
```
ZrTlSb2
1.0
2.097 -2.647 0.000
2.097 2.647 0.000
0.000 0.000 9.422
Zr Tl Sb
1 1 2
Cartesian
0.000 0.000 0.000
2.097 0.000 7.215
0.000 0.000 4.899
2.097 0.000 2.034
```

Computed, not measured: a relaxed LaMoN3 crystal at the PBE level of DFT.

Computed properties:
* DFT total energy: -8.899 eV per atom
* symmetry: P1
* total magnetic moment: 0.0000 μB per atom
* formation energy from raw total energies: -751.8 meV/atom

Structure (POSCAR):
```
LaMoN3
1.0
3.716 0.000 0.000
-0.169 6.202 0.000
-0.898 -1.910 6.188
La Mo N
2 2 6
Cartesian
0.000 0.000 0.000
-0.094 2.677 2.733
0.849 1.433 5.872
1.848 -0.448 2.761
-0.013 0.261 2.460
1.792 1.812 0.664
1.681 4.792 1.012
1.601 4.311 3.859
1.826 1.358 4.054
2.734 1.857 5.060
```

Computed, not measured: a relaxed RbBOsO6 crystal at the PBE level of DFT.

Computed properties:
* DFT total energy: -6.845 eV per atom
* symmetry: P1
* total magnetic moment: 0.0000 μB per atom
* formation energy from raw total energies: -1442.4 meV/atom

Structure (POSCAR):
```
RbBOsO6
1.0
4.674 0.000 0.000
2.164 4.423 0.000
0.646 0.318 6.332
Rb B Os O
1 1 1 6
Cartesian
0.000 0.000 0.000
2.266 1.207 2.455
5.017 2.763 3.174
1.413 2.111 1.632
1.560 1.355 3.759
4.287 4.159 2.075
4.075 2.565 4.639
3.640 1.607 2.323
6.098 3.987 3.806
```